# NaLi14Ca

A relaxed structure of NaLi14Ca (PBE, the Alexandria database).

ΔH_f (0 K)   46 meV/atom
Total moment   0.0 Bohr magnetons per cell
DOS at the Fermi energy   7.276 states/eV per cell

Unit cell a=10.177 b=6.317 c=6.317 alpha=64.79 beta=90.00 gamma=90.00
Element x y z (fractional)
Na 0.000 0.000 0.000
Li 0.000 0.037 0.488
Li 0.000 0.488 0.037
Li 0.246 0.797 0.797
Li 0.259 0.309 0.309
Li 0.272 0.297 0.819
Li 0.272 0.819 0.297
Li 0.500 0.098 0.620
Li 0.500 0.120 0.120
Li 0.500 0.605 0.605
Li 0.500 0.620 0.098
Li 0.728 0.297 0.819
Li 0.728 0.819 0.297
Li 0.741 0.309 0.309
Li 0.754 0.797 0.797
Ca 0.000 0.527 0.527

=====

# TiBi2As

A relaxed structure of TiBi2As (PBE, the Alexandria database).

ΔH_f (0 K)   425 meV/atom
Total moment   2.2 Bohr magnetons per cell
DOS at the Fermi energy   11.227 states/eV per cell

Unit cell a=8.140 b=8.140 c=8.140 alpha=133.17 beta=133.17 gamma=68.38
Element x y z (fractional)
Ti 0.000 0.000 0.000
Ti 0.750 0.250 0.500
Bi 0.114 0.625 0.989
Bi 0.375 0.364 0.489
Bi 0.636 0.125 0.011
Bi 0.875 0.886 0.511
As 0.250 0.750 0.500
As 0.500 0.500 0.000

=====

# BaH6S2N2

A relaxed structure of BaH6S2N2 (PBE, the Alexandria database).

Total moment   0.0 Bohr magnetons per cell
DFT total energy   -4.902 eV per atom
DOS at the Fermi energy   0.000 states/eV per cell

Unit cell a=4.513 b=4.562 c=7.951 alpha=74.35 beta=83.58 gamma=88.72
Element x y z (fractional)
Ba 0.000 0.000 0.000
H 0.132 0.271 0.492
H 0.323 0.000 0.617
H 0.345 0.351 0.631
H 0.655 0.649 0.369
H 0.677 0.000 0.383
H 0.868 0.729 0.508
S 0.430 0.420 0.137
S 0.570 0.580 0.863
N 0.201 0.193 0.614
N 0.799 0.807 0.386

=====

# Ca2ZnRe

A relaxed structure of Ca2ZnRe (PBE, the Alexandria database).

ΔH_f (0 K)   366 meV/atom
Total moment   0.0 Bohr magnetons per cell
DOS at the Fermi energy   3.384 states/eV per cell

Unit cell a=5.849 b=5.849 c=5.467 alpha=105.64 beta=105.64 gamma=29.35
Element x y z (fractional)
Ca 0.000 0.000 0.000
Ca 0.192 0.192 0.620
Zn 0.763 0.763 0.168
Re 0.436 0.436 0.466

=====

# DyBi2OsO8

A relaxed structure of DyBi2OsO8 (PBE, the Alexandria database).

Total moment   0.0 Bohr magnetons per cell
DFT total energy   -6.850 eV per atom
DOS at the Fermi energy   2.941 states/eV per cell

Unit cell a=5.215 b=6.718 c=5.230 alpha=90.00 beta=91.06 gamma=90.00
Element x y z (fractional)
Dy 0.000 0.000 0.000
Bi 0.500 0.251 0.500
Bi 0.500 0.749 0.500
Os 0.000 0.500 0.000
O 0.176 0.281 0.182
O 0.176 0.719 0.182
O 0.249 0.500 0.761
O 0.311 0.000 0.693
O 0.689 0.000 0.307
O 0.751 0.500 0.239
O 0.824 0.281 0.818
O 0.824 0.719 0.818

=====

# K2NaSbH

A relaxed structure of K2NaSbH (PBE, the Alexandria database).

Total moment   0.0 Bohr magnetons per cell
DFT total energy   -2.438 eV per atom
DOS at the Fermi energy   4.257 states/eV per cell

Unit cell a=5.832 b=5.832 c=4.305 alpha=90.00 beta=90.00 gamma=90.00
Element x y z (fractional)
K 0.000 0.500 0.000
K 0.500 0.000 0.000
Na 0.000 0.000 0.500
Sb 0.500 0.500 0.500
H 0.000 0.000 0.000

=====

# ErU2NbN4

A relaxed structure of ErU2NbN4 (PBE, the Alexandria database).

Total moment   2.6 Bohr magnetons per cell
DFT total energy   -10.182 eV per atom
DOS at the Fermi energy   9.124 states/eV per cell

Unit cell a=5.796 b=3.370 c=5.798 alpha=90.00 beta=109.48 gamma=90.00
Element x y z (fractional)
Er 0.000 0.000 0.000
U 0.500 0.000 0.500
U 0.500 0.500 0.000
Nb 0.000 0.500 0.500
N 0.241 0.000 0.738
N 0.247 0.500 0.258
N 0.753 0.500 0.742
N 0.759 0.000 0.262

=====

# Tb2PrNd5Th

A relaxed structure of Tb2PrNd5Th (PBE, the Alexandria database).

ΔH_f (0 K)   159 meV/atom
Total moment   0.0 Bohr magnetons per cell
DOS at the Fermi energy   25.852 states/eV per cell

Unit cell a=10.690 b=10.690 c=10.604 alpha=90.00 beta=90.00 gamma=148.76
Element x y z (fractional)
Tb 0.114 0.886 0.500
Tb 0.116 0.884 0.914
Tb 0.884 0.116 0.414
Tb 0.886 0.114 0.000
Pr 0.411 0.589 0.785
Pr 0.589 0.411 0.285
Nd 0.016 0.984 0.211
Nd 0.276 0.724 0.918
Nd 0.293 0.707 0.529
Nd 0.387 0.613 0.206
Nd 0.478 0.522 0.492
Nd 0.522 0.478 0.992
Nd 0.613 0.387 0.706
Nd 0.707 0.293 0.029
Nd 0.724 0.276 0.418
Nd 0.984 0.016 0.711
Th 0.199 0.801 0.220
Th 0.801 0.199 0.720

=====

Q: Look up the total moment of the fifth one.
A: 0.0 Bohr magnetons per cell